Material: MgCuOF2
Method: DFT, GGA-PBE
State: optimized geometry

CIF file:
```
data_MgCuOF2
_space_group_name_H-M_alt 'P 4/m m m'
_space_group_IT_number 123
_space_group_name_Hall '-P 4 2'
_cell_length_a 3.5175
_cell_length_b 3.5175
_cell_length_c 7.0098
_cell_angle_alpha 90.00
_cell_angle_beta 90.00
_cell_angle_gamma 90.00
loop_
_atom_site_label
_atom_site_fract_x
_atom_site_fract_y
_atom_site_fract_z
_atom_site_occupancy
Mg1 0.0000 0.0000 0.0000 1
Cu1 0.0000 0.0000 0.5000 1
O1 0.5000 0.5000 0.0000 1
F1 0.0000 0.5000 0.5000 1
```

Computed properties:
* density: 2.72 g/cm³
* uncorrected formation energy: -1.19 eV per atom
* excess energy over the best structure of this formula in the dataset: 444 meV per atom

***

Material: MgCuO2F
Method: DFT, GGA-PBE
State: optimized geometry

CIF file:
```
data_MgCuO2F
_space_group_name_H-M_alt 'P 4/m m m'
_space_group_IT_number 123
_space_group_name_Hall '-P 4 2'
_cell_length_a 3.7826
_cell_length_b 3.7826
_cell_length_c 3.7915
_cell_angle_alpha 90.00
_cell_angle_beta 90.00
_cell_angle_gamma 90.00
loop_
_atom_site_label
_atom_site_fract_x
_atom_site_fract_y
_atom_site_fract_z
_atom_site_occupancy
Mg1 0.0000 0.0000 0.0000 1
Cu1 0.5000 0.5000 0.5000 1
O1 0.0000 0.5000 0.5000 1
F1 0.5000 0.5000 0.0000 1
```

Computed properties:
* density: 4.25 g/cm³
* uncorrected formation energy: -1.16 eV per atom

***

Material: MgCuOF2
Method: DFT, GGA-PBE
State: optimized geometry

CIF file:
```
data_MgCuOF2
_space_group_name_H-M_alt 'P 4/m m m'
_space_group_IT_number 123
_space_group_name_Hall '-P 4 2'
_cell_length_a 3.8804
_cell_length_b 3.8804
_cell_length_c 3.9215
_cell_angle_alpha 90.00
_cell_angle_beta 90.00
_cell_angle_gamma 90.00
loop_
_atom_site_label
_atom_site_fract_x
_atom_site_fract_y
_atom_site_fract_z
_atom_site_occupancy
Mg1 0.0000 0.0000 0.0000 1
Cu1 0.5000 0.5000 0.5000 1
O1 0.5000 0.5000 0.0000 1
F1 0.0000 0.5000 0.5000 1
```

Computed properties:
* density: 3.99 g/cm³
* uncorrected formation energy: -1.48 eV per atom
* excess energy over the best structure of this formula in the dataset: 156 meV per atom

***

Material: MgCuOF2
Method: DFT, GGA-PBE
State: optimized geometry

CIF file:
```
data_MgCuOF2
_space_group_name_H-M_alt 'P 4/m m m'
_space_group_IT_number 123
_space_group_name_Hall '-P 4 2'
_cell_length_a 3.7260
_cell_length_b 3.7260
_cell_length_c 4.1919
_cell_angle_alpha 90.00
_cell_angle_beta 90.00
_cell_angle_gamma 90.00
loop_
_atom_site_label
_atom_site_fract_x
_atom_site_fract_y
_atom_site_fract_z
_atom_site_occupancy
Mg1 0.0000 0.0000 0.0000 1
Cu1 0.5000 0.5000 0.5000 1
O1 0.0000 0.0000 0.5000 1
F1 0.0000 0.5000 0.0000 1
```

Computed properties:
* density: 4.05 g/cm³
* uncorrected formation energy: -1.64 eV per atom
* excess energy over the best structure of this formula in the dataset: 0 meV per atom